Density functional theory data (GGA-PBE) for a relaxed structure of SrMoRu2.

Properties
The calculation puts the energy above the lowest structure with this stoichiometry at 401 meV per atom. The space group is No. 71.

POSCAR file:
```
SrMoRu2
1.0
5.450 0.072 0.032
1.839 5.131 -0.032
-2.830 -3.743 2.774
Mo Ru Sr
1 2 1
Direct
0.250 0.750 0.500 Mo
0.038 0.038 0.000 Ru
0.462 0.462 0.000 Ru
0.750 0.250 0.500 Sr
```

Density functional theory data (GGA-PBE) for a relaxed structure of SrMoRu2.

Properties
The calculation puts the energy above the lowest structure with this stoichiometry at 305 meV per atom. The space group is No. 6.

POSCAR file:
```
SrMoRu2
1.0
4.367 0.000 0.000
0.000 3.163 0.006
0.000 1.149 6.049
Mo Ru Sr
1 2 1
Direct
0.500 0.730 0.893 Mo
0.000 0.128 0.945 Ru
0.500 0.119 0.201 Ru
0.000 0.523 0.461 Sr
```

Density functional theory data (GGA-PBE) for a relaxed structure of SrMoRu2.

Properties
The calculation puts the energy above the lowest structure with this stoichiometry at 557 meV per atom. The space group is No. 12.

POSCAR file:
```
SrMoRu2
1.0
5.339 0.001 0.001
-1.852 5.007 0.001
0.547 0.785 2.652
Mo Ru Sr
1 2 1
Direct
0.000 0.500 0.500 Mo
0.000 0.000 0.000 Ru
0.500 0.500 0.000 Ru
0.500 0.000 0.500 Sr
```

Density functional theory data (GGA-PBE) for a relaxed structure of SrMo2Ru.

Properties
The calculation puts the energy above the lowest structure with this stoichiometry at 531 meV per atom. The space group is No. 139.

POSCAR file:
```
SrMo2Ru
1.0
5.664 0.002 0.000
2.991 4.809 0.000
-4.328 -2.406 2.750
Mo Ru Sr
2 1 1
Direct
0.000 0.000 0.000 Mo
0.500 0.500 0.000 Mo
0.250 0.750 0.500 Ru
0.750 0.250 0.500 Sr
```

Density functional theory data (GGA-PBE) for a relaxed structure of SrMo2Ru.

Properties
The calculation puts the energy above the lowest structure with this stoichiometry at 397 meV per atom. The space group is No. 47.

POSCAR file:
```
SrMo2Ru
1.0
3.152 0.000 0.000
0.000 4.618 0.000
0.000 0.000 5.021
Mo Ru Sr
2 1 1
Direct
0.000 0.000 0.000 Mo
0.500 0.500 0.000 Mo
0.500 0.000 0.500 Ru
0.000 0.500 0.500 Sr
```

Density functional theory data (GGA-PBE) for a relaxed structure of SrMoRu2.

Properties
The calculation puts the energy above the lowest structure with this stoichiometry at 434 meV per atom. The space group is No. 123.

POSCAR file:
```
SrMoRu2
1.0
-2.723 -0.708 1.380
2.347 -1.488 3.870
-0.219 4.396 1.823
Mo Ru Sr
1 2 1
Direct
0.500 0.000 0.500 Mo
0.000 0.000 0.000 Ru
0.000 0.500 0.500 Ru
0.500 0.500 0.000 Sr
```

Density functional theory data (GGA-PBE) for a relaxed structure of SrMo2Ru.

Properties
The calculation puts the energy above the lowest structure with this stoichiometry at 290 meV per atom. The space group is No. 44.

POSCAR file:
```
SrMo2Ru
1.0
5.582 -0.004 0.003
2.244 5.111 -0.003
-3.131 -3.752 2.698
Mo Ru Sr
2 1 1
Direct
0.965 0.965 0.000 Mo
0.756 0.256 0.500 Mo
0.528 0.528 0.000 Ru
0.251 0.751 0.500 Sr
```

Density functional theory data (GGA-PBE) for a relaxed structure of SrMo2Ru.

Properties
The calculation puts the energy above the lowest structure with this stoichiometry at 396 meV per atom. The space group is No. 12.

POSCAR file:
```
SrMo2Ru
1.0
-4.193 -1.911 2.880
0.896 -2.550 -4.939
0.983 -2.419 0.975
Mo Ru Sr
2 1 1
Direct
0.000 0.000 0.000 Mo
0.500 0.000 0.500 Mo
0.000 0.500 0.500 Ru
0.500 0.500 0.000 Sr
```

Density functional theory data (GGA-PBE) for a relaxed structure of TaMo2Ru.

Properties
The calculation puts the energy above the lowest structure with this stoichiometry at 185 meV per atom. The space group is No. 225.

POSCAR file:
```
TaMo2Ru
1.0
-2.649 -3.617 -0.055
-3.999 0.180 -2.021
-0.677 -2.225 -3.833
Ru Mo Ta
1 2 1
Direct
0.000 0.000 0.000 Ru
0.250 0.250 0.250 Mo
0.750 0.750 0.750 Mo
0.500 0.500 0.500 Ta
```

Density functional theory data (GGA-PBE) for a relaxed structure of TaMo2Ru.

Properties
The calculation puts the energy above the lowest structure with this stoichiometry at 122 meV per atom. The space group is No. 35.

POSCAR file:
```
TaMo2Ru
1.0
2.778 0.003 0.000
-0.961 2.606 0.000
0.000 0.000 8.813
Mo Ru Ta
2 1 1
Direct
0.000 0.000 0.005 Mo
0.500 0.500 0.253 Mo
0.000 0.000 0.497 Ru
0.500 0.500 0.745 Ta
```

Density functional theory data (GGA-PBE) for a relaxed structure of Ta4MoRu.

Properties
The calculation puts the energy above the lowest structure with this stoichiometry at 738 meV per atom. The space group is No. 216.

POSCAR file:
```
Ta4MoRu
1.0
0.000 3.776 3.776
3.776 0.000 3.776
3.776 3.776 0.000
Ta Mo Ru
4 1 1
Direct
0.874 0.375 0.375 Ta
0.375 0.375 0.874 Ta
0.375 0.874 0.375 Ta
0.375 0.375 0.375 Ta
0.750 0.750 0.750 Mo
0.000 0.000 0.000 Ru
```

Density functional theory data (GGA-PBE) for a relaxed structure of Ta5Mo2Ru.

Properties
The space group is No. 55.

POSCAR file:
```
Ta5Mo2Ru
1.0
-1.534 -4.331 -0.219
2.705 -0.718 -4.748
8.706 -3.361 5.467
Ta Mo Ru
10 4 2
Direct
0.500 0.336 0.117 Ta
0.500 0.664 0.883 Ta
0.500 0.836 0.383 Ta
0.500 0.164 0.617 Ta
0.000 0.852 0.742 Ta
0.000 0.148 0.258 Ta
0.000 0.352 0.758 Ta
0.000 0.648 0.242 Ta
0.000 0.500 0.500 Ta
0.000 0.000 0.000 Ta
0.500 0.334 0.377 Mo
0.500 0.666 0.623 Mo
0.500 0.166 0.877 Mo
0.500 0.834 0.123 Mo
0.000 0.000 0.500 Ru
0.000 0.500 0.000 Ru
```

Density functional theory data (GGA-PBE) for a relaxed structure of Ta2MoRu.

Properties
The calculation puts the energy above the lowest structure with this stoichiometry at 406 meV per atom. The space group is No. 99.

POSCAR file:
```
Ta2MoRu
1.0
-2.270 1.710 0.536
-1.648 -2.332 0.461
1.959 0.156 7.796
Mo Ru Ta
1 1 2
Direct
0.000 0.000 0.529 Mo
0.500 0.500 0.736 Ru
0.000 0.000 0.978 Ta
0.500 0.500 0.257 Ta
```

Density functional theory data (GGA-PBE) for a relaxed structure of TaMo2Ru.

Properties
The calculation puts the energy above the lowest structure with this stoichiometry at 341 meV per atom. The space group is No. 160.

POSCAR file:
```
TaMo2Ru
1.0
9.688 0.019 0.011
9.279 2.784 0.011
9.279 1.371 2.423
Mo Ru Ta
2 1 1
Direct
0.002 0.002 0.002 Mo
0.754 0.754 0.754 Mo
0.497 0.497 0.497 Ru
0.247 0.247 0.247 Ta
```

Density functional theory data (GGA-PBE) for a relaxed structure of TaMoRu.

Properties
The calculation puts the energy above the lowest structure with this stoichiometry at 87 meV per atom. The space group is No. 8.

POSCAR file:
```
TaMoRu
1.0
5.479 0.000 0.002
0.000 4.459 0.000
-5.464 0.000 7.854
Ta Mo Ru
4 4 4
Direct
0.506 0.000 0.678 Ta
0.506 0.500 0.178 Ta
0.320 0.000 0.339 Ta
0.320 0.500 0.839 Ta
0.671 0.000 0.002 Mo
0.671 0.500 0.502 Mo
0.993 0.000 0.668 Mo
0.993 0.500 0.168 Mo
0.193 0.000 0.022 Ru
0.193 0.500 0.522 Ru
0.814 0.000 0.332 Ru
0.814 0.500 0.832 Ru
```

Going through the records in order, we get density of states at the Fermi level values of 1.066, 0.916, 1.445, 1.512, 1.079, 0.918, 0.963, 1.199, 1.096, 1.128, 1.446, 0.868, 1.064, 1.084, 0.866 states/eV per atom.
Going through the records in order, we get formation energy values of 728, 631, 883, 1073, 939, 760, 832, 939, 61, -2, 466, -124, 30, 217, -111 meV per atom.